Entry 1:
# TcNiN2O

TcNiN2O after structural relaxation (GGA+U, Alexandria).

E_tot = -6.33 eV per atom
Fermi-level density of states = 3.10 states/eV per cell

abc: 3.8967 3.8967 3.8118
angles: 90.00 90.00 90.00
Closest atoms and distances in Å follow each position.
Atoms (fractional coordinates):
Ni 0.5000 0.5000 0.5000  8 N 2.73, 4 O 2.76
Tc 0.0000 0.0000 0.0000  2 O 1.91, 4 N 1.95
O 0.0000 0.0000 0.5000  2 Tc 1.91
N 0.0000 0.5000 0.0000  2 Tc 1.95
N 0.5000 0.0000 0.0000  2 Tc 1.95

=====

Entry 2:
# NiTeN2O

NiTeN2O after structural relaxation (GGA+U, Alexandria).

E_tot = -3.26 eV per atom
Fermi-level density of states = 3.19 states/eV per cell

abc: 3.8116 3.8116 4.2539
angles: 90.00 90.00 90.00
Closest atoms and distances in Å follow each position.
Atoms (fractional coordinates):
Ni 0.5000 0.5000 0.5000  4 Te 2.70, 8 N 2.86
Te 0.0000 0.0000 0.5000  2 O 2.13
O 0.0000 0.0000 0.0000  4 N 1.91, 2 Te 2.13
N 0.0000 0.5000 0.0000  2 O 1.91
N 0.5000 0.0000 0.0000  2 O 1.91

=====

Entry 3:
# NiTeN2O

NiTeN2O after structural relaxation (GGA+U, Alexandria).

E_tot = -4.07 eV per atom
Fermi-level density of states = 2.76 states/eV per cell

abc: 3.4893 3.4893 5.6566
angles: 90.00 90.00 90.00
Closest atoms and distances in Å follow each position.
Atoms (fractional coordinates):
Ni 0.0000 0.0000 0.0000  4 N 1.74
Te 0.0000 0.0000 0.5000  4 O 2.47
O 0.5000 0.5000 0.5000  4 Te 2.47
N 0.0000 0.5000 0.0000  2 Ni 1.74
N 0.5000 0.0000 0.0000  2 Ni 1.74